(1)
CaCr2P after structural relaxation, computed with PBE-GGA.

abc: 4.541 4.541 5.148
angles: 99.87 99.87 39.99
Positions (direct):
Ca 0.000 0.000 0.000
Cr 0.227 0.227 0.634
Cr 0.773 0.773 0.366
P 0.500 0.500 0.500

Calculated values
DFT formation energy (eV per atom): 0.1344
Total magnetization (μB per formula unit): 0.00
Space-group type: C2/m (12)

---

(2)
Ca2Pm3PrTe6 after structural relaxation, computed with PBE-GGA.

abc: 7.746 7.746 7.824
angles: 99.52 99.52 120.07
Positions (direct):
Ca 0.167 0.833 0.000
Ca 0.833 0.167 0.000
Pm 0.000 0.000 0.500
Pm 0.334 0.666 0.500
Pm 0.666 0.334 0.500
Pr 0.500 0.500 0.000
Te 0.078 0.417 0.751
Te 0.244 0.244 0.249
Te 0.417 0.078 0.751
Te 0.583 0.922 0.249
Te 0.756 0.756 0.751
Te 0.922 0.583 0.249

Calculated values
Total DFT energy (no corrections) (eV per atom): -4.967
Total magnetization (μB per formula unit): 0.00
Space-group type: C2/m (12)

---

(3)
Tb2PrY3Tm6 after structural relaxation, computed with PBE-GGA.

abc: 6.132 6.132 11.710
angles: 95.00 95.00 119.94
Positions (direct):
Tb 0.167 0.833 0.000
Tb 0.833 0.167 0.000
Pr 0.500 0.500 0.000
Y 0.000 0.000 0.500
Y 0.333 0.667 0.500
Y 0.667 0.333 0.500
Tm 0.082 0.416 0.749
Tm 0.250 0.250 0.251
Tm 0.416 0.082 0.749
Tm 0.584 0.918 0.251
Tm 0.750 0.750 0.749
Tm 0.918 0.584 0.251

Calculated values
DFT formation energy (eV per atom): 0.0256
Total magnetization (μB per formula unit): 0.00
Space-group type: C2/m (12)

---

(4)
Li2TlRh after structural relaxation, computed with PBE-GGA.

abc: 5.258 5.258 4.518
angles: 115.05 115.05 35.92
Positions (direct):
Li 0.233 0.233 0.232
Li 0.767 0.767 0.768
Tl 0.000 0.000 0.500
Rh 0.500 0.500 0.000

Calculated values
DFT formation energy (eV per atom): -0.1959
Total magnetization (μB per formula unit): 0.00
Space-group type: C2/m (12)

---

(5)
PuU2Os2 after structural relaxation, computed with PBE-GGA.

abc: 7.716 7.716 3.396
angles: 90.00 90.00 90.00
Positions (direct):
Pu 0.000 0.000 0.000
Pu 0.500 0.500 0.000
U 0.156 0.344 0.000
U 0.344 0.844 0.000
U 0.656 0.156 0.000
U 0.844 0.656 0.000
Os 0.144 0.644 0.500
Os 0.356 0.144 0.500
Os 0.644 0.856 0.500
Os 0.856 0.356 0.500

Calculated values
Excess energy over the best structure of this formula in the dataset (meV/atom): 69
DFT formation energy (eV per atom): 0.0679
Total magnetization (μB per formula unit): 7.34
Space-group type: P4/mbm (127)

---

(6)
Re3GeB after structural relaxation, computed with PBE-GGA.

abc: 4.130 4.130 4.130
angles: 90.00 90.00 90.00
Positions (direct):
Re 0.000 0.000 0.500
Re 0.000 0.500 0.000
Re 0.500 0.000 0.000
Ge 0.500 0.500 0.500
B 0.000 0.000 0.000

Calculated values
Excess energy over the best structure of this formula in the dataset (meV/atom): 0
DFT formation energy (eV per atom): 0.5299
Total magnetization (μB per formula unit): 0.00
Space-group type: Pm-3m (221)

---

(7)
HoZrZnCd after structural relaxation, computed with PBE-GGA.

abc: 5.006 5.006 5.006
angles: 60.00 60.00 60.00
Positions (direct):
Ho 0.000 0.000 0.000
Zr 0.500 0.500 0.500
Zn 0.250 0.250 0.250
Cd 0.750 0.750 0.750

Calculated values
Excess energy over the best structure of this formula in the dataset (meV/atom): 56
DFT formation energy (eV per atom): -0.1651
Total magnetization (μB per formula unit): 0.43
Space-group type: F-43m (216)

---

(8)
TbSmIr after structural relaxation, computed with PBE-GGA.

abc: 6.947 6.947 6.947
angles: 150.67 150.67 41.95
Positions (direct):
Tb 0.000 0.000 0.000
Sm 0.252 0.252 0.000
Ir 0.622 0.622 0.000

Calculated values
Excess energy over the best structure of this formula in the dataset (meV/atom): 121
DFT formation energy (eV per atom): -0.5041
Total magnetization (μB per formula unit): 0.00
Space-group type: I4mm (107)